A plane-wave DFT calculation with PBE was carried out for a relaxed structure of Pm7Sm3Dy2.

a = 6.4663 Å, b = 3.5757 Å, c = 17.7376 Å
α = 90.00°, β = 96.05°, γ = 90.00°
Space group P2/m (No. 10)
Inequivalent atoms, fractional coordinates:
1 Pm 0.0000 0.0000 0.0000 x1
2 Pm 0.2236 0.5000 0.1693 x2
3 Pm 0.2561 0.5000 0.4969 x2
4 Pm 0.2728 0.0000 0.8321 x2
5 Sm 0.4522 0.0000 0.3394 x2
6 Sm 0.5000 0.5000 0.0000 x1
7 Dy 0.0572 0.5000 0.6705 x2

The value obtained for the energy above the most stable polymorph in this dataset is 0 meV per atom. The formation energy is 0.07 eV per atom.

A plane-wave DFT calculation with PBE was carried out for a relaxed structure of MnBr.

a = 8.2996 Å, b = 8.2996 Å, c = 8.2996 Å
α = 90.00°, β = 90.00°, γ = 90.00°
Space group I-43m (No. 217)
Inequivalent atoms, fractional coordinates:
1 Mn 0.1162 0.1162 0.1162 x8
2 Br 0.2077 0.2077 0.7923 x8

The uncorrected formation energy comes out at 0.0234 eV/atom.

A plane-wave DFT calculation with PBE was carried out for a relaxed structure of AcLa12Dy5.

a = 12.5663 Å, b = 17.4651 Å, c = 5.8889 Å
α = 90.00°, β = 90.08°, γ = 90.00°
Space group C2/m (No. 12)
Inequivalent atoms, fractional coordinates:
1 Ac 0.0000 0.0000 0.0000 x2
2 La 0.1486 0.1815 0.9979 x8
3 La 0.1498 0.3219 0.5021 x8
4 La 0.1955 0.5000 0.9813 x4
5 La 0.2072 0.0000 0.5211 x4
6 Dy 0.0000 0.1395 0.5000 x4
7 Dy 0.0000 0.3650 0.0000 x4
8 Dy 0.0000 0.5000 0.5000 x2

The formation energy is 0.08 eV per atom.

A plane-wave DFT calculation with PBE was carried out for a relaxed structure of CeHoSb.

a = 10.4584 Å, b = 6.5445 Å, c = 5.6674 Å
α = 90.00°, β = 119.11°, γ = 90.00°
Space group C2/m (No. 12)
Inequivalent atoms, fractional coordinates:
1 Ce 0.0804 0.0000 0.3620 x4
2 Ho 0.2500 0.2500 0.0000 x4
3 Sb 0.0863 0.5000 0.3274 x4

The uncorrected formation energy comes out at -0.3972 eV/atom.

A plane-wave DFT calculation with PBE was carried out for a relaxed structure of ZrTaRuI2.

a = 5.3434 Å, b = 5.3434 Å, c = 4.8370 Å
α = 90.00°, β = 90.00°, γ = 90.00°
Space group P4/mmm (No. 123)
Inequivalent atoms, fractional coordinates:
1 Zr 0.0000 0.0000 0.0000 x1
2 Ta 0.5000 0.5000 0.5000 x1
3 Ru 0.5000 0.5000 0.0000 x1
4 I 0.0000 0.5000 0.5000 x2

The uncorrected formation energy comes out at 1.2428 eV/atom.

A plane-wave DFT calculation with PBE was carried out for a relaxed structure of TlOs3.

a = 4.5132 Å, b = 5.6531 Å, c = 5.1525 Å
α = 90.00°, β = 90.00°, γ = 90.00°
Space group Pmmn (No. 59, origin choice 2)
Inequivalent atoms, fractional coordinates:
1 Tl 0.2500 0.2500 0.1242 x2
2 Os 0.2500 0.5142 0.6248 x4
3 Os 0.2500 0.7500 0.1861 x2

The value obtained for the energy above the most stable polymorph in this dataset is 231 meV per atom. The formation energy is 0.90 eV per atom.

A plane-wave DFT calculation with PBE was carried out for a relaxed structure of GaOsIO2.

a = 3.8559 Å, b = 3.8559 Å, c = 8.0900 Å
α = 90.00°, β = 90.00°, γ = 90.00°
Space group P4/mmm (No. 123)
Inequivalent atoms, fractional coordinates:
1 Ga 0.0000 0.0000 0.0000 x1
2 Os 0.5000 0.5000 0.5000 x1
3 I 0.5000 0.5000 0.0000 x1
4 O 0.0000 0.5000 0.5000 x2

The value obtained for the energy above the most stable polymorph in this dataset is 0 meV per atom. The uncorrected formation energy comes out at -0.2379 eV/atom.

A plane-wave DFT calculation with PBE was carried out for a relaxed structure of TaSbP2.

a = 6.0793 Å, b = 7.4159 Å, c = 3.6455 Å
α = 90.00°, β = 113.95°, γ = 90.00°
Space group C2/m (No. 12)
Inequivalent atoms, fractional coordinates:
1 Ta 0.0000 0.0000 0.0000 x2
2 Sb 0.0000 0.5000 0.0000 x2
3 P 0.2500 0.2500 0.5000 x4

The uncorrected formation energy comes out at 0.3190 eV/atom.

A plane-wave DFT calculation with PBE was carried out for a relaxed structure of La12Y7Th.

a = 19.7561 Å, b = 19.7561 Å, c = 6.3998 Å
α = 90.00°, β = 90.00°, γ = 120.00°
Space group R-3 (No. 148, hexagonal axes)
Inequivalent atoms, fractional coordinates:
1 La 0.0003 0.4066 0.0007 x18
2 La 0.0946 0.5476 0.4708 x18
3 Y 0.0000 0.0000 0.0000 x3
4 Y 0.0830 0.9163 0.2939 x18
5 Th 0.0000 0.0000 0.5000 x3

The value obtained for the energy above the most stable polymorph in this dataset is 63 meV per atom. The formation energy is 0.24 eV per atom.

A plane-wave DFT calculation with PBE was carried out for a relaxed structure of PmPr7In4.

a = 14.8168 Å, b = 5.8958 Å, c = 10.9085 Å
α = 90.00°, β = 123.54°, γ = 90.00°
Space group C2/m (No. 12)
Inequivalent atoms, fractional coordinates:
1 Pm 0.0000 0.0000 0.0000 x2
2 Pr 0.0000 0.5000 0.0000 x2
3 Pr 0.0626 0.0000 0.3918 x4
4 Pr 0.2045 0.0000 0.8799 x4
5 Pr 0.2176 0.5000 0.6554 x4
6 In 0.0570 0.5000 0.7546 x4
7 In 0.1815 0.5000 0.3324 x4

The formation energy is -0.15 eV per atom.

A plane-wave DFT calculation with PBE was carried out for a relaxed structure of SbTeHC2.

a = 4.3724 Å, b = 4.3724 Å, c = 3.6829 Å
α = 90.00°, β = 90.00°, γ = 90.00°
Space group P4/mmm (No. 123)
Inequivalent atoms, fractional coordinates:
1 Sb 0.0000 0.0000 0.0000 x1
2 Te 0.5000 0.5000 0.0000 x1
3 H 0.0000 0.0000 0.5000 x1
4 C 0.0000 0.5000 0.5000 x2

As for the total energy: -3.471 eV/atom.

A plane-wave DFT calculation with PBE was carried out for a relaxed structure of Ba2CeInTe5.

a = 4.6800 Å, b = 20.6849 Å, c = 14.2477 Å
α = 90.00°, β = 90.00°, γ = 90.00°
Space group Cmc2_1 (No. 36)
Inequivalent atoms, fractional coordinates:
1 Ba 0.0000 0.1178 0.0000 x4
2 Ba 0.0000 0.1273 0.6350 x4
3 Ce 0.0000 0.2077 0.3356 x4
4 In 0.0000 0.4427 0.7577 x4
5 Te 0.0000 0.0486 0.3744 x4
6 Te 0.0000 0.2919 0.9841 x4
7 Te 0.0000 0.3113 0.6792 x4
8 Te 0.0000 0.3573 0.3199 x4
9 Te 0.0000 0.4971 0.0830 x4

The uncorrected formation energy comes out at -1.2842 eV/atom.

What are the calculated volume values for these records? In order: 33.99 35.73 35.90 28.24 27.62 16.43 24.06 18.77 36.05 33.09 14.08 38.31 Å³/atom.